VASP calculation (PBE-GGA) on an optimized crystal structure of CaZr2Sc.

Cell lengths 5.8650, 5.8650, 3.2142 Å; angles 90.00, 90.00, 112.92 degrees
Closest atoms and distances in Å follow each position.
Positions (direct):
1 Sc 0.0000 0.5000 0.5000  2 Sc 3.21, 2 Ca 3.24, 8 Zr 3.34
2 Zr 0.0000 0.0000 0.0000  4 Zr 3.21-3.24, 4 Sc 3.34, 4 Ca 3.34
3 Zr 0.5000 0.5000 0.0000  4 Zr 3.21-3.24, 4 Ca 3.34, 4 Sc 3.34
4 Ca 0.5000 0.0000 0.5000  2 Ca 3.21, 2 Sc 3.24, 8 Zr 3.34

Summary:
Its volume is 101.8 Å³ per cell. The uncorrected energy comes out at -6.0748 eV/atom. The formation energy from the elements comes out at 109 kJ/mol of formula units. The value obtained for the polymorph energy (0 for the lowest one) is 125 meV per atom. The space-group type is Cmmm, No. 65.